Entry 1:
Ge2Pd2I: relaxed, PBE-GGA.

The structure belongs to space group I4/mmm (No. 139); the cell edges are 4.154, 4.154 and 12.168 Å and the angles 90.00°, 90.00° and 90.00°. The asymmetric unit holds Ge at (0.000, 0.500, 0.250), Pd at (0.000, 0.000, 0.122) and I at (0.000, 0.000, 0.500).

For the offset from the most stable computed form, the calculation gives 0.0 meV/atom.

Entry 2:
NaNp2O6: relaxed, PBE-GGA.

The structure belongs to space group I4/mmm (No. 139); the cell edges are 3.705, 3.705 and 16.549 Å and the angles 90.00°, 90.00° and 90.00°. The asymmetric unit holds Na at (0.000, 0.000, 0.000), Np at (0.000, 0.000, 0.338), O at (0.000, 0.500, 0.098) and O at (0.000, 0.500, 0.250).

For the offset from the most stable computed form, the calculation gives 52.3 meV/atom.

Entry 3:
CsNbN2: relaxed, PBE-GGA.

The structure belongs to space group R-3m (No. 166, hexagonal axes); the cell edges are 3.2900, 3.2900 and 22.7530 Å and the angles 90.00°, 90.00° and 120.00°. The asymmetric unit holds Cs at (0.0000, 0.0000, 0.0000), Nb at (0.0000, 0.0000, 0.5000) and N at (0.0000, 0.0000, 0.1211).

The records above give, respectively, calculated volume values of 104.97 113.59 71.10 Å³/f.u..
The records above give, respectively, formation energy (no corrections) values of -124 -2580 -150 meV per atom.
The records above give, respectively, M_tot values of 0.0 6.0 0.0 μB per cell.